No. 1
Compound: Be2NiIr
Source: Alexandria
Functional: PBE-GGA
Structure: relaxed

Lattice parameters (Å, degrees): 3.7914 3.7914 2.8070 90.00 90.00 90.00
Positions (direct):
1 Be 0.0000 0.5000 0.0000
2 Be 0.5000 0.0000 0.0000
3 Ni 0.0000 0.0000 0.5000
4 Ir 0.5000 0.5000 0.5000

Properties
The value obtained for the formation energy is -55 kJ per mole of atoms. Its energy above the lowest structure with this stoichiometry is 0.0043 eV per atom. The crystal system is tetragonal.



No. 2
Compound: KSiSe3
Source: Alexandria
Functional: PBE-GGA
Structure: relaxed

Lattice parameters (Å, degrees): 5.0071 5.0071 5.0071 90.00 90.00 90.00
Positions (direct):
1 K 0.0000 0.0000 0.0000
2 Si 0.5000 0.5000 0.5000
3 Se 0.0000 0.5000 0.5000
4 Se 0.5000 0.0000 0.5000
5 Se 0.5000 0.5000 0.0000

Properties
For the formation energy from raw total energies, the calculation gives -0.272 eV per atom. The crystal system is cubic.



No. 3
Compound: PrBeTe2O8
Source: Alexandria
Functional: PBE-GGA
Structure: relaxed

Lattice parameters (Å, degrees): 4.9017 4.9017 6.5696 90.00 90.00 98.50
Positions (direct):
1 Pr 0.0000 0.0000 0.0000
2 Be 0.0000 0.0000 0.5000
3 Te 0.5000 0.5000 0.2720
4 Te 0.5000 0.5000 0.7280
5 O 0.1943 0.1943 0.2963
6 O 0.1943 0.1943 0.7037
7 O 0.3182 0.6818 0.5000
8 O 0.3347 0.6653 0.0000
9 O 0.6653 0.3347 0.0000
10 O 0.6818 0.3182 0.5000
11 O 0.8057 0.8057 0.2963
12 O 0.8057 0.8057 0.7037

Properties
For the formation energy from raw total energies, the calculation gives -1.502 eV per atom. The crystal system is orthorhombic.



No. 4
Compound: La2ScFe
Source: Alexandria
Functional: PBE-GGA
Structure: relaxed

Lattice parameters (Å, degrees): 9.8552 9.8552 9.8552 21.04 21.04 21.04
Positions (direct):
1 La 0.2350 0.2350 0.2350
2 La 0.7650 0.7650 0.7650
3 Sc 0.0000 0.0000 0.0000
4 Fe 0.5000 0.5000 0.5000

Properties
The value obtained for the formation energy is 28 kJ per mole of atoms. Its energy above the lowest structure with this stoichiometry is 0.1753 eV per atom. The crystal system is trigonal.



No. 5
Compound: Be2TcPt
Source: Alexandria
Functional: PBE-GGA
Structure: relaxed

Lattice parameters (Å, degrees): 4.0110 4.0110 4.0110 60.00 60.00 60.00
Positions (direct):
1 Be 0.2500 0.2500 0.2500
2 Be 0.7500 0.7500 0.7500
3 Tc 0.0000 0.0000 0.0000
4 Pt 0.5000 0.5000 0.5000

Properties
The value obtained for the formation energy is -31 kJ per mole of atoms. Its energy above the lowest structure with this stoichiometry is 0.0531 eV per atom. The crystal system is cubic.



No. 6
Compound: Ca2As3PPd4
Source: Alexandria
Functional: PBE-GGA
Structure: relaxed

Lattice parameters (Å, degrees): 4.3717 4.3717 9.9988 90.00 90.00 90.00
Positions (direct):
1 Ca 0.0000 0.5000 0.2470
2 Ca 0.5000 0.0000 0.7530
3 As 0.0000 0.0000 0.0000
4 As 0.0000 0.5000 0.6355
5 As 0.5000 0.0000 0.3645
6 P 0.5000 0.5000 0.0000
7 Pd 0.0000 0.0000 0.5000
8 Pd 0.0000 0.5000 0.8814
9 Pd 0.5000 0.0000 0.1186
10 Pd 0.5000 0.5000 0.5000

Properties
The value obtained for the formation energy is -71 kJ per mole of atoms. The crystal system is tetragonal.



No. 7
Compound: Al2ZnGaS
Source: Alexandria
Functional: PBE-GGA
Structure: relaxed

Lattice parameters (Å, degrees): 4.8064 4.8064 4.6603 90.00 90.00 90.00
Positions (direct):
1 Al 0.0000 0.5000 0.0000
2 Al 0.5000 0.0000 0.0000
3 Zn 0.0000 0.0000 0.5000
4 Ga 0.5000 0.5000 0.5000
5 S 0.0000 0.0000 0.0000

Properties
For the formation energy from raw total energies, the calculation gives 0.411 eV per atom. The crystal system is tetragonal.



No. 8
Compound: PrDyMgSi
Source: Alexandria
Functional: PBE-GGA
Structure: relaxed

Lattice parameters (Å, degrees): 5.1869 5.1869 5.1869 60.00 60.00 60.00
Positions (direct):
1 Pr 0.0000 0.0000 0.0000
2 Dy 0.5000 0.5000 0.5000
3 Mg 0.2500 0.2500 0.2500
4 Si 0.7500 0.7500 0.7500

Properties
For the formation energy from raw total energies, the calculation gives -0.272 eV per atom. The crystal system is cubic.



No. 9
Compound: Nd2MgTl
Source: Alexandria
Functional: PBE-GGA
Structure: relaxed

Lattice parameters (Å, degrees): 5.2186 5.2186 4.3125 90.00 90.00 90.00
Positions (direct):
1 Nd 0.0000 0.5000 0.0000
2 Nd 0.5000 0.0000 0.0000
3 Mg 0.0000 0.0000 0.5000
4 Tl 0.5000 0.5000 0.5000

Properties
The value obtained for the formation energy is -25 kJ per mole of atoms. Its energy above the lowest structure with this stoichiometry is 0.0059 eV per atom. The crystal system is tetragonal.



No. 10
Compound: K3RuI
Source: Alexandria
Functional: PBE-GGA
Structure: relaxed

Lattice parameters (Å, degrees): 6.2124 6.2124 6.2124 90.00 90.00 90.00
Positions (direct):
1 K 0.0000 0.0000 0.5000
2 K 0.0000 0.5000 0.0000
3 K 0.5000 0.0000 0.0000
4 Ru 0.0000 0.0000 0.0000
5 I 0.5000 0.5000 0.5000

Properties
For the formation energy from raw total energies, the calculation gives 0.345 eV per atom. The crystal system is cubic.



No. 11
Compound: MgBiTe3
Source: Alexandria
Functional: PBE-GGA
Structure: relaxed

Lattice parameters (Å, degrees): 7.5528 4.5081 9.9598 90.00 99.56 90.00
Positions (direct):
1 Mg 0.0596 0.2500 0.3037
2 Mg 0.9404 0.7500 0.6963
3 Bi 0.4451 0.2500 0.6888
4 Bi 0.5549 0.7500 0.3112
5 Te 0.1296 0.2500 0.8382
6 Te 0.2142 0.7500 0.4870
7 Te 0.3515 0.2500 0.1389
8 Te 0.6485 0.7500 0.8611
9 Te 0.7858 0.2500 0.5130
10 Te 0.8704 0.7500 0.1618

Properties
For the formation energy from raw total energies, the calculation gives -0.359 eV per atom. Its energy above the lowest structure with this stoichiometry is 0.0000 eV per atom. The crystal system is monoclinic.



No. 12
Compound: SmAsIr
Source: Alexandria
Functional: PBE-GGA
Structure: relaxed

Lattice parameters (Å, degrees): 4.2806 4.2806 3.9815 90.00 90.00 120.00
Positions (direct):
1 Sm 0.0000 0.0000 0.0000
2 As 0.6667 0.3333 0.5000
3 Ir 0.3333 0.6667 0.5000

Properties
The value obtained for the formation energy is -90 kJ per mole of atoms. The crystal system is hexagonal.



Result set for density: 11.07 4.02 5.67 5.82 11.32 6.62 3.41 5.99 7.31 2.39 6.12 10.97 Mg/m³, one per record in the order listed.
Result set for VASP energy: -24.38 -18.33 -72.48 -23.49 -25.16 -51.45 -13.86 -17.49 -14.52 -12.39 -33.39 -21.02 eV for the cell shown, one per record in the order listed.